# CdNiTe2

A geometry-optimized CdNiTe2 structure (PBE, the Alexandria database).

extended XYZ file:
```
4
Lattice="3.997 0.000 0.000 0.000 4.041 0.000 0.000 0.000 5.991" Properties=species:S:1:pos:R:3 pbc="T T T"
Cd 0.000 0.000 0.000
Ni 0.000 2.020 2.995
Te 1.999 0.000 2.995
Te 1.999 2.020 0.000
```

Calculated values
Formation energy without anion corrections   0.33 eV/atom

# Cd2NiTe2

A geometry-optimized Cd2NiTe2 structure (PBE, the Alexandria database).

extended XYZ file:
```
10
Lattice="7.458 0.000 0.000 0.000 7.458 0.000 0.000 0.000 4.589" Properties=species:S:1:pos:R:3 pbc="T T T"
Cd 1.000 2.729 0.000
Cd 2.729 6.458 0.000
Cd 4.729 1.000 0.000
Cd 6.458 4.729 0.000
Ni 0.000 0.000 2.295
Ni 3.729 3.729 2.295
Te 1.471 5.200 2.295
Te 2.259 1.471 2.295
Te 5.200 5.988 2.295
Te 5.988 2.259 2.295
```

Calculated values
Formation energy without anion corrections   0.10 eV/atom

# CdNiTe2

A geometry-optimized CdNiTe2 structure (PBE, the Alexandria database).

extended XYZ file:
```
4
Lattice="0.000 3.586 3.586 3.586 0.000 3.586 3.586 3.586 0.000" Properties=species:S:1:pos:R:3 pbc="T T T"
Cd 0.000 0.000 0.000
Ni 5.379 5.379 5.379
Te 1.793 1.793 1.793
Te 3.586 3.586 3.586
```

Calculated values
Formation energy without anion corrections   0.52 eV/atom

# CdNiTe2

A geometry-optimized CdNiTe2 structure (PBE, the Alexandria database).

extended XYZ file:
```
4
Lattice="3.133 0.000 0.000 0.000 3.133 0.000 0.000 0.000 9.910" Properties=species:S:1:pos:R:3 pbc="T T T"
Cd 0.000 0.000 0.000
Ni 1.566 1.566 1.765
Te 0.000 0.000 3.265
Te 1.566 1.566 6.873
```

Calculated values
Formation energy without anion corrections   0.10 eV/atom

# CdNiTe2

A geometry-optimized CdNiTe2 structure (PBE, the Alexandria database).

extended XYZ file:
```
4
Lattice="4.486 0.000 0.000 0.000 2.781 3.999 0.000 -2.781 3.999" Properties=species:S:1:pos:R:3 pbc="T T T"
Cd 0.000 0.000 0.000
Ni 2.243 0.000 1.749
Te 0.000 0.000 2.916
Te 2.243 0.000 6.151
```

Calculated values
Formation energy without anion corrections   -0.03 eV/atom

# CdNiTe2

A geometry-optimized CdNiTe2 structure (PBE, the Alexandria database).

extended XYZ file:
```
4
Lattice="3.063 -4.028 0.000 3.063 4.028 0.000 -2.871 0.000 4.031" Properties=species:S:1:pos:R:3 pbc="T T T"
Cd 0.000 0.000 0.000
Ni 3.063 0.000 0.000
Te 0.096 2.014 2.016
Te 0.096 -2.014 2.016
```

Calculated values
Formation energy without anion corrections   0.19 eV/atom

# CdNiTe2

A geometry-optimized CdNiTe2 structure (PBE, the Alexandria database).

extended XYZ file:
```
4
Lattice="-1.990 1.990 6.319 1.990 -1.990 6.319 1.990 1.990 -6.319" Properties=species:S:1:pos:R:3 pbc="T T T"
Cd 0.000 0.000 0.000
Ni 1.990 0.000 3.159
Te 0.000 0.000 6.319
Te 0.000 1.990 3.159
```

Calculated values
Formation energy without anion corrections   0.33 eV/atom

# CdNiTe2

A geometry-optimized CdNiTe2 structure (PBE, the Alexandria database).

extended XYZ file:
```
4
Lattice="4.868 -1.886 0.000 4.868 1.886 0.000 -1.961 0.000 6.111" Properties=species:S:1:pos:R:3 pbc="T T T"
Cd 0.000 0.000 0.000
Ni 2.583 0.000 0.245
Te 4.976 0.000 4.701
Te 7.667 0.000 1.935
```

Calculated values
Formation energy without anion corrections   -0.12 eV/atom

# CdNiTe2

A geometry-optimized CdNiTe2 structure (PBE, the Alexandria database).

extended XYZ file:
```
4
Lattice="3.389 -1.959 0.000 3.389 1.959 0.000 -2.280 0.000 7.101" Properties=species:S:1:pos:R:3 pbc="T T T"
Cd 0.000 0.000 0.000
Ni 2.249 0.000 3.550
Te -0.009 0.000 4.920
Te 4.507 0.000 2.181
```

Calculated values
Formation energy without anion corrections   -0.15 eV/atom

# Cd2Ni2Te

A geometry-optimized Cd2Ni2Te structure (PBE, the Alexandria database).

extended XYZ file:
```
10
Lattice="6.683 0.000 0.000 0.000 6.683 0.000 0.000 0.000 4.036" Properties=species:S:1:pos:R:3 pbc="T T T"
Cd 1.031 2.311 0.000
Cd 2.311 5.653 0.000
Cd 4.372 1.031 0.000
Cd 5.653 4.372 0.000
Ni 0.938 4.280 2.018
Ni 2.404 0.938 2.018
Ni 4.280 5.745 2.018
Ni 5.745 2.404 2.018
Te 0.000 0.000 2.018
Te 3.342 3.342 2.018
```

Calculated values
Formation energy without anion corrections   0.03 eV/atom

# CdNiTe2

A geometry-optimized CdNiTe2 structure (PBE, the Alexandria database).

extended XYZ file:
```
4
Lattice="-1.793 1.996 6.678 1.793 -1.996 6.678 1.793 1.996 -6.678" Properties=species:S:1:pos:R:3 pbc="T T T"
Cd 0.000 0.000 0.000
Ni 1.793 0.000 3.148
Te 0.000 0.000 5.049
Te 0.000 1.996 2.317
```

Calculated values
Formation energy without anion corrections   0.06 eV/atom

# CdNiTe2

A geometry-optimized CdNiTe2 structure (PBE, the Alexandria database).

extended XYZ file:
```
4
Lattice="5.181 0.000 0.000 0.000 3.878 0.000 -2.389 0.000 6.102" Properties=species:S:1:pos:R:3 pbc="T T T"
Cd 0.000 0.000 0.000
Ni 2.590 0.000 0.000
Te -0.364 1.939 4.592
Te 3.156 1.939 1.510
```

Calculated values
Formation energy without anion corrections   -0.12 eV/atom